Below is LiMnBO3 after structural relaxation, with properties calculated at the PBE with a Hubbard U level.

Cell: 5.243 10.552 5.243 Å, 91.09 60.23 88.91°
Site moments in Bohr magnetons follow the coordinates.
Fractional coordinates of all 24 atoms:
B 0.665 0.124 0.996  0.02
B 0.343 0.874 0.003  0.02
B 0.004 0.624 0.335  0.02
B 0.997 0.374 0.657  0.02
O 0.423 0.156 0.962  0.04
O 0.747 0.405 0.929  0.04
O 0.966 0.331 0.421  0.04
O 0.730 0.640 0.360  0.03
O 0.640 0.140 0.270  0.03
O 0.929 0.080 0.755  0.04
O 0.273 0.390 0.626  0.03
O 0.038 0.656 0.577  0.04
O 0.374 0.890 0.727  0.03
O 0.579 0.831 0.034  0.04
O 0.245 0.580 0.071  0.04
O 0.071 0.905 0.253  0.04
Mn 0.670 0.617 0.996  4.63
Mn 0.323 0.367 0.996  4.63
Mn 0.004 0.867 0.677  4.63
Mn 0.004 0.117 0.330  4.63
Li 0.338 0.582 0.651  0.00
Li 0.680 0.832 0.349  0.00
Li 0.349 0.082 0.662  0.00
Li 0.651 0.332 0.320  0.00

Properties
space-group type = Cc, No. 9
E = -0.538 Ry/atom
polymorph energy (0 for the lowest one) = 5 meV per atom